A plane-wave DFT calculation with PBE was carried out for a relaxed RbYNiS3 crystal.

Output
M_tot = 1.1 μB/cell
Crystal system = orthorhombic
Relative energy among the computed polymorphs = 67.4 meV/atom

Unit cell a=11.0208 b=4.1376 c=12.0338 alpha=90.00 beta=90.00 gamma=90.00
Element x y z (fractional)
1 Rb 0.1627 0.2500 0.0077
2 Rb 0.3373 0.7500 0.5077
3 Rb 0.6627 0.2500 0.4923
4 Rb 0.8373 0.7500 0.9923
5 Y 0.0079 0.2500 0.6598
6 Y 0.4921 0.7500 0.1598
7 Y 0.5079 0.2500 0.8402
8 Y 0.9921 0.7500 0.3402
9 Ni 0.2414 0.2500 0.2934
10 Ni 0.2586 0.7500 0.7934
11 Ni 0.7414 0.2500 0.2066
12 Ni 0.7586 0.7500 0.7066
13 S 0.0561 0.7500 0.8039
14 S 0.1143 0.2500 0.4472
15 S 0.2246 0.7500 0.2297
16 S 0.2754 0.2500 0.7297
17 S 0.3857 0.7500 0.9472
18 S 0.4439 0.2500 0.3039
19 S 0.5561 0.7500 0.6961
20 S 0.6143 0.2500 0.0528
21 S 0.7246 0.7500 0.2703
22 S 0.7754 0.2500 0.7703
23 S 0.8857 0.7500 0.5528
24 S 0.9439 0.2500 0.1961